Here is a relaxed structure of LaMoN2 from Alexandria. Energies are from PBE.

```
data_LaMoN2
_cell_length_a 3.2439
_cell_length_b 3.2439
_cell_length_c 20.0342
_cell_angle_alpha 90.00
_cell_angle_beta 90.00
_cell_angle_gamma 120.00
_space_group_name_H-M_alt 'R -3 m'
_space_group_IT_number 166
_space_group_name_Hall '-R 3 2"'
loop_
_atom_site_label
_atom_site_type_symbol
_atom_site_fract_x
_atom_site_fract_y
_atom_site_fract_z
_atom_site_occupancy
La1 La 0.0000 0.0000 0.0000 1
Mo1 Mo 0.0000 0.0000 0.5000 1
N1 N 0.0000 0.0000 0.1165 1
```

Calculated values
**Uncorrected formation energy**: -0.127 eV per atom
**Total DFT energy (no corrections)**: -8.229 eV per atom
**Total magnetic moment**: 0.00 μB per cell